Below is an optimized crystal structure of Te2MoW3S6, with properties calculated at the PBE level.

a = 3.2698 Å, b = 3.2698 Å, c = 34.0139 Å
α = 90.00°, β = 90.00°, γ = 120.00°
Space group P3m1 (No. 156)
Unique sites:
Te 0.0000 0.0000 0.0000
Te 0.0000 0.0000 0.1134
Mo 0.6667 0.3333 0.0567
W 0.0000 0.0000 0.2766
W 0.0000 0.0000 0.6874
W 0.6667 0.3333 0.4807
S 0.0000 0.0000 0.4353
S 0.0000 0.0000 0.5261
S 0.6667 0.3333 0.2312
S 0.6667 0.3333 0.3220
S 0.6667 0.3333 0.6419
S 0.6667 0.3333 0.7328

Calculated values
For the density of states at the Fermi level, the calculation gives 0.708 states/eV/cell. Its density is 5774 kg/m3. The uncorrected formation energy comes out at -627 meV/atom. Its energy above the most stable polymorph in this dataset is 0.0 meV per atom.